1.
Entry from Alexandria via LeMat-Bulk: a geometry-optimized SrAlSe2N structure (PBE).

a = 5.267 Å, b = 5.267 Å, c = 3.768 Å
α = 90.00°, β = 90.00°, γ = 90.00°
Space group P4/mmm (No. 123)
Inequivalent atoms, fractional coordinates:
Sr  0.000  0.000  0.000 x1
Al  0.500  0.500  0.500 x1
Se  0.000  0.500  0.500 x2
N  0.500  0.500  0.000 x1

E_form (uncorrected) (eV/atom): -0.64


2.
Entry from Alexandria via LeMat-Bulk: a geometry-optimized LaNdDy2Ho2 structure (PBE).

a = 6.605 Å, b = 17.991 Å, c = 3.402 Å
α = 90.00°, β = 90.00°, γ = 90.00°
Space group Pnnm (No. 58)
Inequivalent atoms, fractional coordinates:
La  0.000  0.000  0.000 x2
Nd  0.000  0.500  0.000 x2
Dy  0.221  0.187  0.000 x4
Ho  0.219  0.350  0.500 x4

Energy of formation (eV per atom): 0.275


3.
Entry from Alexandria via LeMat-Bulk: a geometry-optimized Nd3MgC2N6 structure (PBE).

a = 5.3342 Å, b = 5.3342 Å, c = 6.4928 Å
α = 90.00°, β = 90.00°, γ = 120.00°
Space group P-3m1 (No. 164)
Inequivalent atoms, fractional coordinates:
Nd  0.0000  0.0000  0.0000 x1
Nd  0.3333  0.6667  0.6693 x2
Mg  0.0000  0.0000  0.5000 x1
C  0.3333  0.6667  0.2784 x2
N  0.1853  0.3707  0.2874 x6

E_form (uncorrected) (eV/atom): -0.76


4.
Entry from Alexandria via LeMat-Bulk: a geometry-optimized P2HI6 structure (PBE).

a = 7.255 Å, b = 7.306 Å, c = 9.114 Å
α = 77.75°, β = 85.55°, γ = 70.55°
Space group P-1 (No. 2)
Inequivalent atoms, fractional coordinates:
P  0.032  0.449  0.126 x2
H  0.500  0.000  0.500 x1
I  0.049  0.223  0.812 x2
I  0.258  0.655  0.792 x2
I  0.337  0.170  0.339 x2

Total DFT energy (no corrections) (eV/atom): -2.598


5.
Entry from Alexandria via LeMat-Bulk: a geometry-optimized BaAc8Ru2 structure (PBE).

a = 17.220 Å, b = 7.697 Å, c = 6.864 Å
α = 90.00°, β = 95.67°, γ = 90.00°
Space group C2/m (No. 12)
Inequivalent atoms, fractional coordinates:
Ba  0.000  0.000  0.000 x2
Ac  0.081  0.500  0.834 x4
Ac  0.140  0.247  0.399 x8
Ac  0.215  0.000  0.905 x4
Ru  0.229  0.500  0.662 x4

Energy of formation (eV per atom): -0.028


6.
Entry from Alexandria via LeMat-Bulk: a geometry-optimized LiAgF2 structure (PBE).

a = 13.330 Å, b = 2.935 Å, c = 4.974 Å
α = 90.00°, β = 90.00°, γ = 90.00°
Space group Pnma (No. 62)
Inequivalent atoms, fractional coordinates:
Li  0.198  0.250  0.231 x4
Ag  0.059  0.750  0.704 x4
F  0.092  0.750  0.184 x4
F  0.207  0.250  0.623 x4

E_form (uncorrected) (eV/atom): -1.93


7.
Entry from Alexandria via LeMat-Bulk: a geometry-optimized SmBeGe2Pd structure (PBE).

a = 4.082 Å, b = 4.082 Å, c = 10.545 Å
α = 90.00°, β = 90.00°, γ = 90.00°
Space group I-4m2 (No. 119)
Inequivalent atoms, fractional coordinates:
Sm  0.000  0.000  0.000 x2
Be  0.000  0.500  0.250 x2
Ge  0.000  0.000  0.381 x4
Pd  0.000  0.500  0.750 x2

Energy of formation (eV per atom): -0.624


8.
Entry from Alexandria via LeMat-Bulk: a geometry-optimized Cd3In4Cl10 structure (PBE).

a = 5.262 Å, b = 5.262 Å, c = 36.321 Å
α = 90.00°, β = 90.00°, γ = 90.00°
Space group I4/mmm (No. 139)
Inequivalent atoms, fractional coordinates:
Cd  0.000  0.000  0.000 x2
Cd  0.000  0.000  0.145 x4
In  0.000  0.000  0.300 x4
In  0.000  0.000  0.432 x4
Cl  0.000  0.000  0.072 x4
Cl  0.000  0.000  0.216 x4
Cl  0.000  0.500  0.000 x4
Cl  0.000  0.500  0.140 x8

E_form (uncorrected) (eV/atom): -0.92


9.
Entry from Alexandria via LeMat-Bulk: a geometry-optimized YPaAl structure (PBE).

a = 3.647 Å, b = 3.647 Å, c = 23.987 Å
α = 90.00°, β = 90.00°, γ = 90.00°
Space group I4/mmm (No. 139)
Inequivalent atoms, fractional coordinates:
Y  0.000  0.000  0.074 x4
Pa  0.000  0.000  0.221 x4
Al  0.000  0.000  0.353 x4

Energy of formation (eV per atom): -0.007


10.
Entry from Alexandria via LeMat-Bulk: a geometry-optimized Au3Br structure (PBE).

a = 2.961 Å, b = 7.152 Å, c = 9.276 Å
α = 90.00°, β = 90.00°, γ = 90.00°
Space group Immm (No. 71)
Inequivalent atoms, fractional coordinates:
Au  0.000  0.000  0.000 x2
Au  0.000  0.500  0.254 x4
Br  0.000  0.000  0.500 x2

E_form (uncorrected) (eV/atom): 0.27


11.
Entry from Alexandria via LeMat-Bulk: a geometry-optimized Co2SiTc structure (PBE).

a = 3.800 Å, b = 2.646 Å, c = 9.563 Å
α = 90.00°, β = 90.00°, γ = 90.00°
Space group Amm2 (No. 38)
Inequivalent atoms, fractional coordinates:
Co  0.000  0.000  0.000 x2
Co  0.500  0.000  0.391 x2
Si  0.500  0.000  0.129 x2
Tc  0.000  0.000  0.746 x2

E_form (uncorrected) (eV/atom): -0.16


12.
Entry from Alexandria via LeMat-Bulk: a geometry-optimized ScRh2W structure (PBE).

a = 3.247 Å, b = 3.247 Å, c = 6.194 Å
α = 90.00°, β = 90.00°, γ = 90.00°
Space group P4mm (No. 99)
Inequivalent atoms, fractional coordinates:
Sc  0.000  0.000  0.000 x1
Rh  0.000  0.000  0.498 x1
Rh  0.500  0.500  0.779 x1
W  0.500  0.500  0.307 x1

Energy of formation (eV per atom): -0.193